Record 1
DFT (PBE-GGA) results for Pm2Cu2Pt after structural relaxation.

Structure (CIF):
```
data_Pm2Cu2Pt
_symmetry_space_group_name_H-M 'P 1'
_symmetry_Int_Tables_number 1
_symmetry_space_group_name_Hall 'P 1'
_cell_length_a 7.238
_cell_length_b 7.238
_cell_length_c 7.862
_cell_angle_alpha 90.00
_cell_angle_beta 90.00
_cell_angle_gamma 90.00
loop_
_atom_site_label
_atom_site_type_symbol
_atom_site_fract_x
_atom_site_fract_y
_atom_site_fract_z
_atom_site_occupancy
Pm1 Pm 0.183 0.317 0.000 1
Pm2 Pm 0.183 0.317 0.500 1
Pm3 Pm 0.317 0.817 0.000 1
Pm4 Pm 0.317 0.817 0.500 1
Pm5 Pm 0.683 0.183 0.000 1
Pm6 Pm 0.683 0.183 0.500 1
Pm7 Pm 0.817 0.683 0.000 1
Pm8 Pm 0.817 0.683 0.500 1
Cu1 Cu 0.120 0.620 0.250 1
Cu2 Cu 0.120 0.620 0.750 1
Cu3 Cu 0.380 0.120 0.250 1
Cu4 Cu 0.380 0.120 0.750 1
Cu5 Cu 0.620 0.880 0.250 1
Cu6 Cu 0.620 0.880 0.750 1
Cu7 Cu 0.880 0.380 0.250 1
Cu8 Cu 0.880 0.380 0.750 1
Pt1 Pt 0.000 0.000 0.250 1
Pt2 Pt 0.000 0.000 0.750 1
Pt3 Pt 0.500 0.500 0.250 1
Pt4 Pt 0.500 0.500 0.750 1
```

## Properties
As for the excess energy over the best structure of this formula in the dataset: 88.1 meV per atom. The calculation puts the calculated formation energy at -0.46 eV per atom.

Record 2
DFT (PBE-GGA) results for PmEr2PuBi4 after structural relaxation.

Structure (CIF):
```
data_PmEr2PuBi4
_symmetry_space_group_name_H-M 'P 1'
_symmetry_Int_Tables_number 1
_symmetry_space_group_name_Hall 'P 1'
_cell_length_a 7.796
_cell_length_b 4.509
_cell_length_c 7.808
_cell_angle_alpha 90.00
_cell_angle_beta 109.46
_cell_angle_gamma 90.00
loop_
_atom_site_label
_atom_site_type_symbol
_atom_site_fract_x
_atom_site_fract_y
_atom_site_fract_z
_atom_site_occupancy
Pm1 Pm 0.000 0.000 0.000 1
Er1 Er 0.500 0.000 0.500 1
Er2 Er 0.500 0.500 0.000 1
Pu1 Pu 0.000 0.500 0.500 1
Bi1 Bi 0.257 0.000 0.751 1
Bi2 Bi 0.258 0.500 0.254 1
Bi3 Bi 0.742 0.500 0.746 1
Bi4 Bi 0.743 0.000 0.249 1
```

## Properties
The calculation puts the calculated formation energy at -0.72 eV per atom.

Record 3
DFT (PBE-GGA) results for Ca3RuO6 after structural relaxation.

Structure (CIF):
```
data_Ca3RuO6
_symmetry_space_group_name_H-M 'P 1'
_symmetry_Int_Tables_number 1
_symmetry_space_group_name_Hall 'P 1'
_cell_length_a 6.562
_cell_length_b 6.562
_cell_length_c 6.562
_cell_angle_alpha 91.88
_cell_angle_beta 91.88
_cell_angle_gamma 91.88
loop_
_atom_site_label
_atom_site_type_symbol
_atom_site_fract_x
_atom_site_fract_y
_atom_site_fract_z
_atom_site_occupancy
Ca1 Ca 0.067 0.755 0.571 1
Ca2 Ca 0.245 0.429 0.933 1
Ca3 Ca 0.429 0.933 0.245 1
Ca4 Ca 0.571 0.067 0.755 1
Ca5 Ca 0.755 0.571 0.067 1
Ca6 Ca 0.933 0.245 0.429 1
Ru1 Ru 0.000 0.000 0.000 1
Ru2 Ru 0.500 0.500 0.500 1
O1 O 0.048 0.716 0.923 1
O2 O 0.077 0.952 0.284 1
O3 O 0.217 0.430 0.561 1
O4 O 0.284 0.077 0.952 1
O5 O 0.430 0.561 0.217 1
O6 O 0.439 0.783 0.570 1
O7 O 0.561 0.217 0.430 1
O8 O 0.570 0.439 0.783 1
O9 O 0.716 0.923 0.048 1
O10 O 0.783 0.570 0.439 1
O11 O 0.923 0.048 0.716 1
O12 O 0.952 0.284 0.077 1
```

## Properties
The value obtained for the formation energy (no corrections) is -2.188 eV per atom.

Record 4
DFT (PBE-GGA) results for LaNpSbN after structural relaxation.

Structure (CIF):
```
data_LaNpSbN
_symmetry_space_group_name_H-M 'P 1'
_symmetry_Int_Tables_number 1
_symmetry_space_group_name_Hall 'P 1'
_cell_length_a 4.687
_cell_length_b 4.687
_cell_length_c 9.003
_cell_angle_alpha 90.00
_cell_angle_beta 90.00
_cell_angle_gamma 90.00
loop_
_atom_site_label
_atom_site_type_symbol
_atom_site_fract_x
_atom_site_fract_y
_atom_site_fract_z
_atom_site_occupancy
La1 La 0.250 0.750 0.000 1
La2 La 0.750 0.250 0.000 1
Np1 Np 0.250 0.250 0.338 1
Np2 Np 0.750 0.750 0.662 1
Sb1 Sb 0.250 0.250 0.693 1
Sb2 Sb 0.750 0.750 0.307 1
N1 N 0.250 0.250 0.107 1
N2 N 0.750 0.750 0.893 1
```

## Properties
The value obtained for the formation energy (no corrections) is -0.901 eV per atom.

Record 5
DFT (PBE-GGA) results for LiCd2Sb after structural relaxation.

Structure (CIF):
```
data_LiCd2Sb
_symmetry_space_group_name_H-M 'P 1'
_symmetry_Int_Tables_number 1
_symmetry_space_group_name_Hall 'P 1'
_cell_length_a 6.595
_cell_length_b 6.595
_cell_length_c 3.040
_cell_angle_alpha 102.05
_cell_angle_beta 102.05
_cell_angle_gamma 127.62
loop_
_atom_site_label
_atom_site_type_symbol
_atom_site_fract_x
_atom_site_fract_y
_atom_site_fract_z
_atom_site_occupancy
Li1 Li 0.000 0.000 0.000 1
Cd1 Cd 0.000 0.500 0.000 1
Cd2 Cd 0.500 0.000 0.000 1
Sb1 Sb 0.500 0.500 0.000 1
```

## Properties
The value obtained for the formation energy (no corrections) is -0.144 eV per atom.

Record 6
DFT (PBE-GGA) results for BaZr2Al after structural relaxation.

Structure (CIF):
```
data_BaZr2Al
_symmetry_space_group_name_H-M 'P 1'
_symmetry_Int_Tables_number 1
_symmetry_space_group_name_Hall 'P 1'
_cell_length_a 5.336
_cell_length_b 5.336
_cell_length_c 6.911
_cell_angle_alpha 96.74
_cell_angle_beta 96.74
_cell_angle_gamma 35.70
loop_
_atom_site_label
_atom_site_type_symbol
_atom_site_fract_x
_atom_site_fract_y
_atom_site_fract_z
_atom_site_occupancy
Ba1 Ba 0.000 0.000 0.000 1
Zr1 Zr 0.218 0.218 0.648 1
Zr2 Zr 0.478 0.478 0.494 1
Al1 Al 0.747 0.747 0.310 1
```

## Properties
The calculation puts the calculated formation energy at 0.24 eV per atom.

Record 7
DFT (PBE-GGA) results for TaTeRu2 after structural relaxation.

Structure (CIF):
```
data_TaTeRu2
_symmetry_space_group_name_H-M 'P 1'
_symmetry_Int_Tables_number 1
_symmetry_space_group_name_Hall 'P 1'
_cell_length_a 8.738
_cell_length_b 8.738
_cell_length_c 8.738
_cell_angle_alpha 20.15
_cell_angle_beta 20.15
_cell_angle_gamma 20.15
loop_
_atom_site_label
_atom_site_type_symbol
_atom_site_fract_x
_atom_site_fract_y
_atom_site_fract_z
_atom_site_occupancy
Ta1 Ta 0.000 0.000 0.000 1
Te1 Te 0.760 0.760 0.760 1
Ru1 Ru 0.256 0.256 0.256 1
Ru2 Ru 0.506 0.506 0.506 1
```

## Properties
The value obtained for the formation energy (no corrections) is 0.404 eV per atom.

Record 8
DFT (PBE-GGA) results for BaRhPb2 after structural relaxation.

Structure (CIF):
```
data_BaRhPb2
_symmetry_space_group_name_H-M 'P 1'
_symmetry_Int_Tables_number 1
_symmetry_space_group_name_Hall 'P 1'
_cell_length_a 5.417
_cell_length_b 5.417
_cell_length_c 5.417
_cell_angle_alpha 60.00
_cell_angle_beta 60.00
_cell_angle_gamma 60.00
loop_
_atom_site_label
_atom_site_type_symbol
_atom_site_fract_x
_atom_site_fract_y
_atom_site_fract_z
_atom_site_occupancy
Ba1 Ba 0.000 0.000 0.000 1
Rh1 Rh 0.750 0.750 0.750 1
Pb1 Pb 0.250 0.250 0.250 1
Pb2 Pb 0.500 0.500 0.500 1
```

## Properties
The calculation puts the calculated formation energy at 0.04 eV per atom.